Entry 1:
# Cu2SbSe (PBEsol, optimized geometry)
data_Cu2SbSe
_chemical_formula_sum 'Cu8 Sb4 Se4'
_space_group_name_H-M_alt 'F m -3 m'
_space_group_IT_number 225
_space_group_name_Hall '-F 4 2 3'
_cell_length_a 6.483
_cell_length_b 6.483
_cell_length_c 6.483
_cell_angle_alpha 90.00
_cell_angle_beta 90.00
_cell_angle_gamma 90.00
loop_
_atom_site_label
_atom_site_type_symbol
_atom_site_fract_x
_atom_site_fract_y
_atom_site_fract_z
Cu1 Cu 0.250 0.250 0.250
Sb1 Sb 0.000 0.000 0.000
Se1 Se 0.000 0.000 0.500
# final energy: -3.9066 eV/atom
# density: 7.990 g/cm3
# crystal system: cubic
# formation energy from raw total energies: 0.36 eV/atom

***

Entry 2:
# Cu3SbSe3 (PBEsol, optimized geometry)
data_Cu3SbSe3
_chemical_formula_sum 'Cu12 Sb4 Se12'
_space_group_name_H-M_alt 'P n m a'
_space_group_IT_number 62
_space_group_name_Hall '-P 2ac 2n'
_cell_length_a 7.934
_cell_length_b 10.498
_cell_length_c 6.673
_cell_angle_alpha 90.00
_cell_angle_beta 90.00
_cell_angle_gamma 90.00
loop_
_atom_site_label
_atom_site_type_symbol
_atom_site_fract_x
_atom_site_fract_y
_atom_site_fract_z
Cu1 Cu 0.105 0.052 0.230
Cu2 Cu 0.203 0.250 0.046
Sb1 Sb 0.247 0.750 0.113
Se1 Se 0.002 0.250 0.358
Se2 Se 0.155 0.057 0.847
# final energy: -4.2791 eV/atom
# density: 6.564 g/cm3
# crystal system: orthorhombic
# formation energy from raw total energies: -0.12 eV/atom